1.
## Sr6TlGa2 (PBE)

Data for Sr6TlGa2 after structural relaxation.

Output
Total magnetic moment ... 0.000 μB per atom
SG ... Immm, No. 71
Formation enthalpy at 0 K ... -0.2787 eV per atom
Volume ... 702.1 Å³ per cell
N(E_F) ... 22.82 states/eV/cell
Crystal system ... orthorhombic

Unit cell a=9.710 b=9.710 c=9.710 alpha=105.64 beta=110.47 gamma=112.38
Fractional positions:
Sr1 0.550 0.727 0.823
Sr2 0.450 0.273 0.177
Sr3 0.095 0.273 0.823
Sr4 0.905 0.727 0.177
Sr5 0.811 0.750 0.561
Sr6 0.189 0.250 0.439
Sr7 0.189 0.750 0.939
Sr8 0.811 0.250 0.061
Sr9 0.685 0.350 0.665
Sr10 0.315 0.650 0.335
Sr11 0.315 0.981 0.665
Sr12 0.685 0.019 0.335
Tl1 0.000 0.500 0.500
Tl2 0.000 0.000 0.000
Ga1 0.500 0.392 0.892
Ga2 0.500 0.608 0.108
Ga3 0.673 0.000 0.673
Ga4 0.327 0.000 0.327

***

2.
## SrCoCl2 (PBE)

Data for SrCoCl2 after structural relaxation.

Output
Total magnetic moment ... 0.251 μB per atom
SG ... Cmmm, No. 65
Energy above the most stable polymorph in this dataset ... 187 meV per atom
Volume ... 91.6 Å³ per cell
N(E_F) ... 1.48 states/eV/cell
ΔE_f (raw) ... -787 meV per atom
Crystal system ... orthorhombic

Unit cell a=3.857 b=4.885 c=4.889 alpha=84.10 beta=90.00 gamma=90.00
Fractional positions:
Sr1 0.500 0.750 0.750
Co1 0.500 0.250 0.250
Cl1 0.000 0.047 0.047
Cl2 0.000 0.453 0.453

***

Number 1: raw total energy -21.019 eV per formula unit. Number 2: raw total energy -15.629 eV per formula unit.